No. 1
NaNbCu2 | GGA-PBEsol | optimized geometry

## Properties
The calculation puts the raw total energy at -4.64 eV per atom. The space group is No. 225. The calculation puts the density of states at the Fermi level at 1.63 states/eV/cell. The crystal system is cubic.

```
NaNbCu2
1.0
4.4069 0.0000 0.0000
2.2034 3.8164 0.0000
2.2034 1.2721 3.5982
Cu Na Nb
2 1 1
Direct
0.7500 0.7500 0.7500 Cu
0.2500 0.2500 0.2500 Cu
0.0000 0.0000 0.0000 Na
0.5000 0.5000 0.5000 Nb
```


No. 2
BaTcPS2 | GGA-PBEsol | optimized geometry

## Properties
The raw formation energy is 1678 meV/atom. The calculation puts the raw total energy at -3.92 eV per atom. The space group is No. 123. The value obtained for the energy above the most stable polymorph in this dataset is 2.357 eV per atom. The calculation puts the density of states at the Fermi level at 5.74 states/eV/cell. The crystal system is tetragonal.

```
BaTcPS2
1.0
-0.2113 -5.1600 1.8894
5.4636 -0.0106 0.5822
-0.5426 1.8995 5.1271
S Ba Tc P
2 1 1 1
Direct
0.0000 0.5000 0.0000 S
0.0000 0.0000 0.5000 S
0.0000 0.0000 0.0000 Ba
0.5000 0.5000 0.5000 Tc
0.5000 0.0000 0.0000 P
```


No. 3
MoRh2O6 | GGA-PBEsol | optimized geometry

## Properties
The raw formation energy is -1298 meV/atom. The calculation puts the raw total energy at -7.91 eV per atom. The space group is No. 136. The calculation puts the density of states at the Fermi level at 10.59 states/eV/cell. The crystal system is tetragonal.

```
MoRh2O6
1.0
4.5875 0.0000 0.0000
0.0000 4.5875 0.0000
0.0000 0.0000 9.0238
Rh O Mo
4 12 2
Direct
0.5000 0.5000 0.8307 Rh
0.0000 0.0000 0.6693 Rh
0.0000 0.0000 0.3307 Rh
0.5000 0.5000 0.1693 Rh
0.1969 0.8031 0.5000 O
0.3031 0.3031 0.0000 O
0.1980 0.8020 0.8420 O
0.3020 0.3020 0.6580 O
0.1980 0.8020 0.1580 O
0.8020 0.1980 0.8420 O
0.6969 0.6969 0.0000 O
0.8031 0.1969 0.5000 O
0.3020 0.3020 0.3420 O
0.6980 0.6980 0.3420 O
0.6980 0.6980 0.6580 O
0.8020 0.1980 0.1580 O
0.5000 0.5000 0.5000 Mo
0.0000 0.0000 0.0000 Mo
```


No. 4
CoCI3 | GGA-PBEsol | optimized geometry

## Properties
The raw formation energy is 1626 meV/atom. The calculation puts the raw total energy at -2.91 eV per atom. The space group is No. 221. The calculation puts the density of states at the Fermi level at 6.95 states/eV/cell. The crystal system is cubic.

```
CoCI3
1.0
-0.7495 -3.5035 -3.6631
5.0687 -0.5455 -0.5154
-0.0376 -3.6990 3.5455
I C Co
3 1 1
Direct
0.0000 0.0000 0.5000 I
0.5000 0.0000 0.0000 I
0.0000 0.5000 0.0000 I
0.5000 0.5000 0.5000 C
0.0000 0.0000 0.0000 Co
```


No. 5
Li3CdMo | GGA-PBEsol | optimized geometry

## Properties
The calculation puts the raw total energy at -2.68 eV per atom. The space group is No. 221. The calculation puts the density of states at the Fermi level at 3.33 states/eV/cell. The crystal system is cubic.

```
Li3CdMo
1.0
-0.1579 -0.5968 4.7387
4.7760 0.0211 0.1618
-0.0412 4.7413 0.5958
Li Mo Cd
3 1 1
Direct
0.0000 0.5000 0.0000 Li
0.5000 0.0000 0.0000 Li
0.0000 0.0000 0.5000 Li
0.5000 0.5000 0.5000 Mo
0.0000 0.0000 0.0000 Cd
```


No. 6
Mo2RuRh | GGA-PBEsol | optimized geometry

## Properties
The calculation puts the raw total energy at -10.54 eV per atom. The space group is No. 25. The value obtained for the energy above the most stable polymorph in this dataset is 0.002 eV per atom. The calculation puts the density of states at the Fermi level at 4.26 states/eV/cell. The crystal system is orthorhombic.

```
Mo2RuRh
1.0
2.7526 0.0000 0.0000
0.0000 4.3758 0.0000
0.0000 0.0000 4.7317
Ru Mo Rh
1 2 1
Direct
0.5000 0.5000 0.1952 Ru
0.0000 0.0000 0.0512 Mo
0.0000 0.5000 0.7003 Mo
0.5000 0.0000 0.5533 Rh
```


no.,total magnetization (μB/f.u.)
1,0.0
2,4.2
3,0.0
4,0.1
5,4.0
6,0.0